Entry from the Alexandria database: a relaxed PrNd6Er4 crystal (PBE).

a b c (Å): 5.880 9.732 26.008
angles (deg): 90.00 90.00 90.00
Space group Cmcm (No. 63)
Symmetry-distinct sites (fractional):
Pr 0.000 0.210 0.250 (multiplicity 4)
Nd 0.000 0.124 0.680 (multiplicity 8)
Nd 0.000 0.199 0.098 (multiplicity 8)
Nd 0.000 0.450 0.750 (multiplicity 4)
Nd 0.000 0.500 0.000 (multiplicity 4)
Er 0.000 0.151 0.544 (multiplicity 8)
Er 0.000 0.459 0.624 (multiplicity 8)

Summary:
formation energy = 10.55 kJ/mol of atoms
D(E_F) = 19.00 states/eV/f.u.
energy above the most stable polymorph in this dataset = 0.00 kcal/mol of atoms
spin magnetization = 0.0 μB per cell
ρ = 7.477 g cm⁻³